1.
This record from Alexandria describes PmPa2Zn9 after structural relaxation. The functional is PBE.

Structure (extended XYZ):
```
12
Lattice="2.680 1.547 8.831 -2.680 1.547 8.831 0.000 -3.095 8.831" Properties=species:S:1:pos:R:3 pbc="T T T"
Pm 0.000 0.000 0.000
Pa 0.000 0.000 3.973
Pa 0.000 0.000 22.519
Zn -1.359 -0.785 10.994
Zn 0.000 0.000 8.894
Zn 0.000 -1.569 15.498
Zn -1.359 0.785 15.498
Zn 0.000 0.000 13.246
Zn 1.359 -0.785 10.994
Zn 0.000 1.569 10.994
Zn 0.000 0.000 17.598
Zn 1.359 0.785 15.498
```

Values from the calculation:
- Final energy: -3.10 eV per atom
- Space group: R-3m (166)
- Energy relative to the elements: -16 kJ per mole of atoms

---

2.
This record from Alexandria describes LaPbO after structural relaxation. The functional is PBE.

Structure (extended XYZ):
```
6
Lattice="4.175 0.000 0.000 0.000 4.175 0.000 0.000 0.000 8.485" Properties=species:S:1:pos:R:3 pbc="T T T"
La 1.044 1.044 1.168
La 3.131 3.131 7.317
Pb 1.044 1.044 4.936
Pb 3.131 3.131 3.549
O 1.044 3.131 0.000
O 3.131 1.044 0.000
```

Values from the calculation:
- Final energy: -6.68 eV per atom
- Space group: P4/nmm (129)
- Formation energy (no corrections): -2.15 eV per atom

---

3.
This record from Alexandria describes BaSnHg3 after structural relaxation. The functional is PBE.

Structure (extended XYZ):
```
5
Lattice="6.292 0.000 0.000 0.000 6.292 0.000 0.000 0.000 6.292" Properties=species:S:1:pos:R:3 pbc="T T T"
Ba 0.000 0.000 0.000
Sn 3.146 3.146 3.146
Hg 0.000 0.000 3.146
Hg 0.000 3.146 0.000
Hg 3.146 0.000 0.000
```

Values from the calculation:
- Final energy: -0.87 eV per atom
- Offset from the most stable computed form: 875 meV/atom
- Space group: Pm-3m (221)
- Energy relative to the elements: 47 kJ per mole of atoms